Entry 1:
The following is a GGA-PBE calculation of a geometry-optimized Al4CoCu structure, from the Alexandria database.

Lattice parameters (Å, degrees): 5.0101 5.0101 5.0101 60.00 60.00 60.00
Positions (direct):
1 Al 0.1245 0.1245 0.1245
2 Al 0.1245 0.1245 0.6264
3 Al 0.1245 0.6264 0.1245
4 Al 0.6264 0.1245 0.1245
5 Co 0.7500 0.7500 0.7500
6 Cu 0.5000 0.5000 0.5000

Values from the calculation:
Magnetic moment in μB/cell: 0.01
DFT formation energy in meV/atom: 269.3

Entry 2:
The following is a GGA-PBE calculation of a geometry-optimized Al2Co2Cu structure, from the Alexandria database.

Lattice parameters (Å, degrees): 6.6988 6.6988 2.7858 90.00 90.00 90.00
Positions (direct):
1 Al 0.1613 0.3387 0.0000
2 Al 0.3387 0.8387 0.0000
3 Al 0.6613 0.1613 0.0000
4 Al 0.8387 0.6613 0.0000
5 Co 0.1363 0.6363 0.5000
6 Co 0.3637 0.1363 0.5000
7 Co 0.6363 0.8637 0.5000
8 Co 0.8637 0.3637 0.5000
9 Cu 0.0000 0.0000 0.5000
10 Cu 0.5000 0.5000 0.5000

Values from the calculation:
Magnetic moment in μB/cell: 0.00
Energy relative to the lowest polymorph listed for this composition in meV/atom: 0
DFT formation energy in meV/atom: -235.4

Entry 3:
The following is a GGA-PBE calculation of a geometry-optimized Al4CoCu3 structure, from the Alexandria database.

Lattice parameters (Å, degrees): 2.9494 2.9494 11.8417 90.00 90.00 90.00
Positions (direct):
1 Al 0.0000 0.0000 0.1145
2 Al 0.0000 0.0000 0.3720
3 Al 0.0000 0.0000 0.6280
4 Al 0.0000 0.0000 0.8855
5 Co 0.5000 0.5000 0.0000
6 Cu 0.5000 0.5000 0.2449
7 Cu 0.5000 0.5000 0.5000
8 Cu 0.5000 0.5000 0.7551

Values from the calculation:
Magnetic moment in μB/cell: 0.42
DFT formation energy in meV/atom: -285.1

Entry 4:
The following is a GGA-PBE calculation of a geometry-optimized Al8Co3Cu2 structure, from the Alexandria database.

Lattice parameters (Å, degrees): 7.0020 7.0020 4.0733 90.00 90.00 109.68
Positions (direct):
1 Al 0.1173 0.8827 0.0000
2 Al 0.1220 0.3598 0.5000
3 Al 0.3598 0.1220 0.5000
4 Al 0.3747 0.6253 0.0000
5 Al 0.6253 0.3747 0.0000
6 Al 0.6402 0.8780 0.5000
7 Al 0.8780 0.6402 0.5000
8 Al 0.8827 0.1173 0.0000
9 Co 0.2574 0.2574 0.0000
10 Co 0.5000 0.5000 0.5000
11 Co 0.7426 0.7426 0.0000
12 Cu 0.2538 0.7462 0.5000
13 Cu 0.7462 0.2538 0.5000

Values from the calculation:
Magnetic moment in μB/cell: 0.00
DFT formation energy in meV/atom: -359.5